! MnFe2Mo2 | Alexandria | PBE-GGA | relaxed; values from VASP
! Final energy: -92.31 eV per cell
! M_tot: 0.000 μB/f.u.
&SYSTEM
  ibrav = 0, nat = 10, ntyp = 3
/
ATOMIC_SPECIES
Mn 54.94 Mn.upf
Fe 55.84 Fe.upf
Mo 95.94 Mo.upf
ATOMIC_POSITIONS angstrom
Mn 0.0000 0.0000 0.0000
Mn 3.3047 3.3047 0.0000
Fe 0.8410 2.4637 0.0000
Fe 2.4637 5.7684 0.0000
Fe 4.1458 0.8410 0.0000
Fe 5.7684 4.1458 0.0000
Mo 1.1707 4.4755 1.4929
Mo 2.1340 1.1707 1.4929
Mo 4.4755 5.4387 1.4929
Mo 5.4387 2.1340 1.4929
CELL_PARAMETERS angstrom
6.6095 0.0000 0.0000
0.0000 6.6095 0.0000
0.0000 0.0000 2.9857